(1)
LaEr4Th | PBE | optimized geometry

a = 3.5692 Å, b = 6.1481 Å, c = 9.4173 Å
α = 77.56°, β = 79.11°, γ = 73.25°
Positions (direct):
La 0.0000 0.0000 0.0000
Er 0.3322 0.9945 0.3409
Er 0.3333 0.5076 0.8257
Er 0.6667 0.4924 0.1743
Er 0.6678 0.0055 0.6591
Th 0.0000 0.5000 0.5000

Summary:
calculated volume = 191.45 Å³/cell
N(E_F) = 8.104 states/eV per cell
excess energy over the best structure of this formula in the dataset = 0.00 eV per formula unit
VASP energy = -5.07 eV/atom
energy of formation from the pure elements = 0.03 eV per atom

=====

(2)
La12Er7Th | PBE | optimized geometry

a = 8.8323 Å, b = 8.8323 Å, c = 8.8323 Å
α = 90.01°, β = 90.01°, γ = 90.01°
Positions (direct):
La 0.0152 0.8869 0.3548
La 0.1131 0.6452 0.9848
La 0.2212 0.3598 0.7667
La 0.2333 0.7788 0.6402
La 0.3548 0.0152 0.8869
La 0.3598 0.7667 0.2212
La 0.6402 0.2333 0.7788
La 0.6452 0.9848 0.1131
La 0.7667 0.2212 0.3598
La 0.7788 0.6402 0.2333
La 0.8869 0.3548 0.0152
La 0.9848 0.1131 0.6452
Er 0.0000 0.0000 0.0000
Er 0.1278 0.4414 0.3579
Er 0.3579 0.1278 0.4414
Er 0.4414 0.3579 0.1278
Er 0.5586 0.6421 0.8722
Er 0.6421 0.8722 0.5586
Er 0.8722 0.5586 0.6421
Th 0.5000 0.5000 0.5000

Summary:
calculated volume = 689.00 Å³/cell
N(E_F) = 35.202 states/eV per cell
excess energy over the best structure of this formula in the dataset = 0.00 eV per formula unit
VASP energy = -4.73 eV/atom
energy of formation from the pure elements = 0.19 eV per atom